DFT (PBE-GGA) results for a relaxed Zn2RuAu crystal.

Cell: 2.777 2.777 9.101 Å, 90.00 90.00 117.54°
Fractional coordinates of all 4 atoms:
1 Au 0.000 0.000 0.496
2 Ru 0.500 0.500 0.764
3 Zn 0.000 0.000 0.999
4 Zn 0.500 0.500 0.242

DFT (PBE-GGA) results for a relaxed ZnRuAu2 crystal.

Cell: 3.826 3.826 10.013 Å, 78.99 78.99 90.00°
Fractional coordinates of all 8 atoms:
1 Ru 0.000 0.000 0.000
2 Ru 0.750 0.250 0.500
3 Zn 0.500 0.500 0.000
4 Zn 0.250 0.750 0.500
5 Au 0.624 0.125 0.250
6 Au 0.126 0.625 0.250
7 Au 0.375 0.376 0.750
8 Au 0.875 0.874 0.750

DFT (PBE-GGA) results for a relaxed ZnRuAu crystal.

- Polymorph energy (0 for the lowest one): 0.288 eV/atom

Cell: 7.257 7.014 2.772 Å, 83.79 73.89 22.31°
Fractional coordinates of all 3 atoms:
1 Au 0.004 0.004 0.996
2 Ru 0.325 0.325 0.675
3 Zn 0.671 0.671 0.329

Calculated E (eV per cell), listed in the same order as above: -14.43, -30.73, -13.24
Calculated total magnetic moment (μB/cell), listed in the same order as above: 0.83, 1.93, 0.87
Calculated DOS(E_F) (states/eV/cell), listed in the same order as above: 2.934, 9.809, 2.227